(1)
{
  "formula": "CaNiPdPb",
  "functional": "PBE",
  "state": "optimized geometry",
  "total_energy_ev_per_cell": -17.8,
  "spacegroup": "F-43m (216)",
  "rho_g_cm3": 8.8,
  "lattice_angstrom": [[-0.778, 4.002, 2.512], [-3.005, -0.060, 3.728], [1.706, 0.399, 4.457]],
  "species": ["Pb", "Ni", "Ca", "Pd"],
  "fractional_positions": [[0.000, 0.000, 0.000], [0.250, 0.250, 0.250], [0.500, 0.500, 0.500], [0.750, 0.750, 0.750]]
}


(2)
{
  "formula": "AcY6Ho12",
  "functional": "PBE",
  "state": "optimized geometry",
  "de_polymorph_ev_per_atom": 0.2236,
  "total_energy_ev_per_cell": -89.5,
  "spacegroup": "R-3m (166)",
  "rho_g_cm3": 6.9,
  "lattice_angstrom": [[8.822, 0.372, 0.524], [-1.827, 8.639, 0.524], [-1.827, -2.353, 8.329]],
  "species": ["Ac", "Y", "Y", "Y", "Y", "Y", "Y", "Ho", "Ho", "Ho", "Ho", "Ho", "Ho", "Ho", "Ho", "Ho", "Ho", "Ho", "Ho"],
  "fractional_positions": [[0.000, 0.000, 0.000], [0.736, 0.209, 0.209], [0.209, 0.209, 0.736], [0.209, 0.736, 0.209], [0.791, 0.791, 0.264], [0.264, 0.791, 0.791], [0.791, 0.264, 0.791], [0.882, 0.118, 0.500], [0.819, 0.532, 0.532], [0.532, 0.532, 0.819], [0.468, 0.181, 0.468], [0.468, 0.468, 0.181], [0.181, 0.468, 0.468], [0.118, 0.500, 0.882], [0.500, 0.882, 0.118], [0.118, 0.882, 0.500], [0.882, 0.500, 0.118], [0.500, 0.118, 0.882], [0.532, 0.819, 0.532]]
}


(3)
{
  "formula": "SrPrSmLu",
  "functional": "PBE",
  "state": "optimized geometry",
  "total_energy_ev_per_cell": -14.9,
  "spacegroup": "F-43m (216)",
  "rho_g_cm3": 6.3,
  "lattice_angstrom": [[5.922, 0.000, 0.000], [2.961, 5.128, 0.000], [2.961, 1.709, 4.835]],
  "species": ["Pr", "Sr", "Lu", "Sm"],
  "fractional_positions": [[0.500, 0.500, 0.500], [0.250, 0.250, 0.250], [0.750, 0.750, 0.750], [0.000, 0.000, 0.000]]
}


(4)
{
  "formula": "Th3Ru2",
  "functional": "PBE",
  "state": "optimized geometry",
  "de_polymorph_ev_per_atom": 0.0560,
  "total_energy_ev_per_cell": -85.4,
  "spacegroup": "R-3c (167)",
  "rho_g_cm3": 10.9,
  "lattice_angstrom": [[-0.506, 3.177, 6.237], [3.811, -2.296, 5.427], [5.848, 4.281, 2.242]],
  "species": ["Ru", "Ru", "Ru", "Ru", "Th", "Th", "Th", "Th", "Th", "Th"],
  "fractional_positions": [[0.829, 0.829, 0.513], [0.329, 0.329, 0.013], [0.171, 0.171, 0.487], [0.671, 0.671, 0.987], [0.098, 0.750, 0.750], [0.750, 0.402, 0.750], [0.402, 0.098, 0.750], [0.250, 0.598, 0.250], [0.598, 0.902, 0.250], [0.902, 0.250, 0.250]]
}


Please write out number 3 again, unchanged.
{
  "formula": "SrPrSmLu",
  "functional": "PBE",
  "state": "optimized geometry",
  "total_energy_ev_per_cell": -14.9,
  "spacegroup": "F-43m (216)",
  "rho_g_cm3": 6.3,
  "lattice_angstrom": [[5.922, 0.000, 0.000], [2.961, 5.128, 0.000], [2.961, 1.709, 4.835]],
  "species": ["Pr", "Sr", "Lu", "Sm"],
  "fractional_positions": [[0.500, 0.500, 0.500], [0.250, 0.250, 0.250], [0.750, 0.750, 0.750], [0.000, 0.000, 0.000]]
}